(1)
Compound: LaCd2Cu
Source: the Alexandria database
Functional: GGA-PBEsol
Structure: optimized geometry

The structure in CIF format:
```
data_LaCd2Cu
_cell_length_a 4.969
_cell_length_b 4.969
_cell_length_c 4.969
_cell_angle_alpha 60.00
_cell_angle_beta 60.00
_cell_angle_gamma 60.00
_symmetry_space_group_name_H-M 'P 1'
_symmetry_Int_Tables_number 1
loop_
_symmetry_equiv_pos_as_xyz
'x,y,z'
loop_
_atom_site_label
_atom_site_type_symbol
_atom_site_fract_x
_atom_site_fract_y
_atom_site_fract_z
La1 La 0.000 0.000 0.000
Cd1 Cd 0.500 0.500 0.500
Cd2 Cd 0.750 0.750 0.750
Cu1 Cu 0.250 0.250 0.250
```

Output
Its crystal system is cubic. The space group is No. 216.

(2)
Compound: LaCd2Cu
Source: the Alexandria database
Functional: GGA-PBEsol
Structure: optimized geometry

The structure in CIF format:
```
data_LaCd2Cu
_cell_length_a 4.084
_cell_length_b 6.415
_cell_length_c 6.415
_cell_angle_alpha 33.12
_cell_angle_beta 90.00
_cell_angle_gamma 90.00
_symmetry_space_group_name_H-M 'P 1'
_symmetry_Int_Tables_number 1
loop_
_symmetry_equiv_pos_as_xyz
'x,y,z'
loop_
_atom_site_label
_atom_site_type_symbol
_atom_site_fract_x
_atom_site_fract_y
_atom_site_fract_z
La1 La 0.000 0.000 0.000
Cd1 Cd 0.000 0.730 0.730
Cd2 Cd 0.500 0.326 0.326
Cu1 Cu 0.500 0.594 0.594
```

Output
Its crystal system is orthorhombic. The space group is No. 38.

| no. | ΔE_f (eV/atom) |
| --- | --- |
| 1 | -0.20 |
| 2 | -0.09 |